Entry 1:
Below is a geometry-optimized SmPa2TlO8 structure, with properties calculated at the PBE-GGA level.

a = 6.6067 Å, b = 6.6067 Å, c = 6.3480 Å
α = 90.00°, β = 90.00°, γ = 120.00°
Last column: nearest neighbours and their distance in Å.
Fractional coordinates of all 12 atoms:
Sm  0.0000  0.0000  0.0000  6 O 2.38
Pa  0.3333  0.6667  0.2144  4 O 1.92-2.12
Pa  0.6667  0.3333  0.7856  4 O 1.92-2.12
Tl  0.0000  0.0000  0.5000  6 O 2.30
O  0.1500  0.3000  0.2595  1 Pa 2.12, 1 Tl 2.30
O  0.1500  0.8500  0.2595  1 Pa 2.12, 1 Tl 2.30
O  0.3000  0.1500  0.7405  1 Pa 2.12, 1 Tl 2.30
O  0.3333  0.6667  0.9124  1 Pa 1.92
O  0.6667  0.3333  0.0876  1 Pa 1.92
O  0.7000  0.8500  0.2595  1 Pa 2.12, 1 Tl 2.30
O  0.8500  0.1500  0.7405  1 Pa 2.12, 1 Tl 2.30
O  0.8500  0.7000  0.7405  1 Pa 2.12, 1 Tl 2.30

## Properties
The density of states at the Fermi level is 0.00 states/eV per cell. The formation energy (no corrections) comes out at -2.5571 eV per atom.

---

Entry 2:
Below is a geometry-optimized BC3 structure, with properties calculated at the PBE-GGA level.

a = 10.0079 Å, b = 10.0079 Å, c = 10.0079 Å
α = 15.12°, β = 15.12°, γ = 15.12°
Last column: nearest neighbours and their distance in Å.
Fractional coordinates of all 8 atoms:
B  0.0618  0.0618  0.0618  3 C 1.53
B  0.9382  0.9382  0.9382  3 C 1.53
C  0.2099  0.2099  0.2099  4 C 1.60-1.63
C  0.2650  0.2650  0.2650  3 B 1.53, 1 C 1.63
C  0.4739  0.4739  0.4739  4 C 1.55-1.60
C  0.5261  0.5261  0.5261  4 C 1.55-1.60
C  0.7350  0.7350  0.7350  3 B 1.53, 1 C 1.63
C  0.7901  0.7901  0.7901  4 C 1.60-1.63

## Properties
The formation energy comes out at 0.34 eV/atom. The calculation puts the energy above the most stable polymorph in this dataset at 0.1028 eV/atom.

---

What spin magnetization values result from the calculations? In sequence: 0.00; 0.00 μB/atom.
What total energy values result from the calculations? In sequence: -8.04; -8.24 eV/atom.